(1)
# Al2Tl2Ge, optimized geometry, DFT GGA-PBE
data_Al2Tl2Ge
_chemical_formula_sum 'Al4 Tl4 Ge2'
_symmetry_space_group_name_H-M 'P 4/m b m'
_symmetry_Int_Tables_number 127
_symmetry_space_group_name_Hall '-P 4 2ab'
_cell_length_a 6.829
_cell_length_b 6.829
_cell_length_c 5.193
_cell_angle_alpha 90.00
_cell_angle_beta 90.00
_cell_angle_gamma 90.00
loop_
_atom_site_label
_atom_site_type_symbol
_atom_site_fract_x
_atom_site_fract_y
_atom_site_fract_z
_atom_site_occupancy
Al1 Al 0.137 0.363 0.000 1
Tl1 Tl 0.178 0.678 0.500 1
Ge1 Ge 0.000 0.000 0.000 1
# Formation enthalpy at 0 K, eV per atom: 0.193
# DOS at the Fermi energy, states/eV/cell: 3.7

***

(2)
# AlTl2Ge, optimized geometry, DFT GGA-PBE
data_AlTl2Ge
_chemical_formula_sum 'Al4 Tl8 Ge4'
_symmetry_space_group_name_H-M 'I -4 2 d'
_symmetry_Int_Tables_number 122
_symmetry_space_group_name_Hall 'I -4 2bw'
_cell_length_a 8.149
_cell_length_b 8.149
_cell_length_c 6.106
_cell_angle_alpha 90.00
_cell_angle_beta 90.00
_cell_angle_gamma 90.00
loop_
_atom_site_label
_atom_site_type_symbol
_atom_site_fract_x
_atom_site_fract_y
_atom_site_fract_z
_atom_site_occupancy
Al1 Al 0.000 0.000 0.000 1
Tl1 Tl 0.245 0.250 0.625 1
Ge1 Ge 0.000 0.000 0.500 1
# Formation enthalpy at 0 K, eV per atom: 0.355
# DOS at the Fermi energy, states/eV/cell: 10.0

***

(3)
# Al3TlGe3, optimized geometry, DFT GGA-PBE
data_Al3TlGe3
_chemical_formula_sum 'Al6 Tl2 Ge6'
_symmetry_space_group_name_H-M 'P m -3 n'
_symmetry_Int_Tables_number 223
_symmetry_space_group_name_Hall '-P 4n 2 3'
_cell_length_a 7.143
_cell_length_b 7.143
_cell_length_c 7.143
_cell_angle_alpha 90.00
_cell_angle_beta 90.00
_cell_angle_gamma 90.00
loop_
_atom_site_label
_atom_site_type_symbol
_atom_site_fract_x
_atom_site_fract_y
_atom_site_fract_z
_atom_site_occupancy
Al1 Al 0.000 0.250 0.500 1
Tl1 Tl 0.000 0.000 0.000 1
Ge1 Ge 0.000 0.500 0.250 1
# Formation enthalpy at 0 K, eV per atom: 0.209
# DOS at the Fermi energy, states/eV/cell: 12.4

***

(4)
# Tm2AlGe, optimized geometry, DFT GGA-PBE
data_Tm2AlGe
_chemical_formula_sum 'Tm6 Al3 Ge3'
_symmetry_space_group_name_H-M 'R -3 m'
_symmetry_Int_Tables_number 166
_symmetry_space_group_name_Hall '-R 3 2"'
_cell_length_a 3.3980
_cell_length_b 3.3980
_cell_length_c 30.9252
_cell_angle_alpha 90.00
_cell_angle_beta 90.00
_cell_angle_gamma 120.00
loop_
_atom_site_label
_atom_site_type_symbol
_atom_site_fract_x
_atom_site_fract_y
_atom_site_fract_z
_atom_site_occupancy
Tm1 Tm 0.0000 0.0000 0.0927 1
Al1 Al 0.0000 0.0000 0.5000 1
Ge1 Ge 0.0000 0.0000 0.0000 1
# Formation enthalpy at 0 K, eV per atom: 0.021
# DOS at the Fermi energy, states/eV/cell: 7.3

***

(5)
# TmAlGe, optimized geometry, DFT GGA-PBE
data_TmAlGe
_chemical_formula_sum 'Tm4 Al4 Ge4'
_symmetry_space_group_name_H-M 'C m c m'
_symmetry_Int_Tables_number 63
_symmetry_space_group_name_Hall '-C 2c 2'
_cell_length_a 4.233
_cell_length_b 15.229
_cell_length_c 3.859
_cell_angle_alpha 90.00
_cell_angle_beta 90.00
_cell_angle_gamma 90.00
loop_
_atom_site_label
_atom_site_type_symbol
_atom_site_fract_x
_atom_site_fract_y
_atom_site_fract_z
_atom_site_occupancy
Tm1 Tm 0.000 0.092 0.250 1
Al1 Al 0.000 0.258 0.750 1
Ge1 Ge 0.000 0.434 0.250 1
# Formation enthalpy at 0 K, eV per atom: -0.471
# DOS at the Fermi energy, states/eV/cell: 3.5

***

(6)
# TmAl2Ge2, optimized geometry, DFT GGA-PBE
data_TmAl2Ge2
_chemical_formula_sum 'Tm4 Al8 Ge8'
_symmetry_space_group_name_H-M 'C m c m'
_symmetry_Int_Tables_number 63
_symmetry_space_group_name_Hall '-C 2c 2'
_cell_length_a 3.969
_cell_length_b 24.193
_cell_length_c 3.959
_cell_angle_alpha 90.00
_cell_angle_beta 90.00
_cell_angle_gamma 90.00
loop_
_atom_site_label
_atom_site_type_symbol
_atom_site_fract_x
_atom_site_fract_y
_atom_site_fract_z
_atom_site_occupancy
Tm1 Tm 0.000 0.155 0.250 1
Al1 Al 0.000 0.044 0.750 1
Al2 Al 0.000 0.455 0.750 1
Ge1 Ge 0.000 0.250 0.750 1
Ge2 Ge 0.000 0.377 0.250 1
# Formation enthalpy at 0 K, eV per atom: -0.319
# DOS at the Fermi energy, states/eV/cell: 11.9

***

(7)
# TmAlGe2, optimized geometry, DFT GGA-PBE
data_TmAlGe2
_chemical_formula_sum 'Tm3 Al3 Ge6'
_symmetry_space_group_name_H-M 'R -3 m'
_symmetry_Int_Tables_number 166
_symmetry_space_group_name_Hall '-R 3 2"'
_cell_length_a 4.4016
_cell_length_b 4.4016
_cell_length_c 14.3353
_cell_angle_alpha 90.00
_cell_angle_beta 90.00
_cell_angle_gamma 120.00
loop_
_atom_site_label
_atom_site_type_symbol
_atom_site_fract_x
_atom_site_fract_y
_atom_site_fract_z
_atom_site_occupancy
Tm1 Tm 0.0000 0.0000 0.0000 1
Al1 Al 0.0000 0.0000 0.5000 1
Ge1 Ge 0.0000 0.0000 0.2234 1
# Distance to the lowest polymorph of the same formula, eV per atom: 0.148
# Formation enthalpy at 0 K, eV per atom: -0.286
# DOS at the Fermi energy, states/eV/cell: 6.6

***

(8)
# TmAl2Ge2, optimized geometry, DFT GGA-PBE
data_TmAl2Ge2
_chemical_formula_sum 'Tm1 Al2 Ge2'
_symmetry_space_group_name_H-M 'P -3 m 1'
_symmetry_Int_Tables_number 164
_symmetry_space_group_name_Hall '-P 3 2"'
_cell_length_a 4.2707
_cell_length_b 4.2707
_cell_length_c 6.5226
_cell_angle_alpha 90.00
_cell_angle_beta 90.00
_cell_angle_gamma 120.00
loop_
_atom_site_label
_atom_site_type_symbol
_atom_site_fract_x
_atom_site_fract_y
_atom_site_fract_z
_atom_site_occupancy
Tm1 Tm 0.0000 0.0000 0.0000 1
Al1 Al 0.3333 0.6667 0.6480 1
Ge1 Ge 0.3333 0.6667 0.2526 1
# Formation enthalpy at 0 K, eV per atom: -0.386
# DOS at the Fermi energy, states/eV/cell: 1.8

***

(9)
# Tm5Al2Ge4, optimized geometry, DFT GGA-PBE
data_Tm5Al2Ge4
_chemical_formula_sum 'Tm10 Al4 Ge8'
_symmetry_space_group_name_H-M 'C 1 2/m 1'
_symmetry_Int_Tables_number 12
_symmetry_space_group_name_Hall '-C 2y'
_cell_length_a 18.809
_cell_length_b 4.107
_cell_length_c 7.199
_cell_angle_alpha 90.00
_cell_angle_beta 107.28
_cell_angle_gamma 90.00
loop_
_atom_site_label
_atom_site_type_symbol
_atom_site_fract_x
_atom_site_fract_y
_atom_site_fract_z
_atom_site_occupancy
Tm1 Tm 0.000 0.000 0.000 1
Tm2 Tm 0.157 0.500 0.421 1
Tm3 Tm 0.163 0.500 0.937 1
Al1 Al 0.073 0.000 0.624 1
Ge1 Ge 0.007 0.500 0.715 1
Ge2 Ge 0.213 0.000 0.714 1
# Formation enthalpy at 0 K, eV per atom: -0.414
# DOS at the Fermi energy, states/eV/cell: 14.0

***

(10)
# TmAlGe2, optimized geometry, DFT GGA-PBE
data_TmAlGe2
_chemical_formula_sum 'Tm2 Al2 Ge4'
_symmetry_space_group_name_H-M 'P m m n'
_symmetry_Int_Tables_number 59
_cell_length_a 3.750
_cell_length_b 4.560
_cell_length_c 10.045
_cell_angle_alpha 90.00
_cell_angle_beta 90.00
_cell_angle_gamma 90.00
loop_
_symmetry_equiv_pos_as_xyz
'x,y,z'
'-x,-y,-z'
'-x+1/2,-y+1/2,z'
'x+1/2,y+1/2,-z'
'x+1/2,-y,-z'
'-x+1/2,y,z'
'-x,y+1/2,-z'
'x,-y+1/2,z'
loop_
_atom_site_label
_atom_site_type_symbol
_atom_site_fract_x
_atom_site_fract_y
_atom_site_fract_z
_atom_site_occupancy
Tm1 Tm 0.250 0.250 0.133 1
Al1 Al 0.250 0.750 0.341 1
Ge1 Ge 0.250 0.250 0.463 1
Ge2 Ge 0.250 0.250 0.844 1
# Distance to the lowest polymorph of the same formula, eV per atom: 0.088
# Formation enthalpy at 0 K, eV per atom: -0.346
# DOS at the Fermi energy, states/eV/cell: 1.7

***

(11)
# Tm2AlGe, optimized geometry, DFT GGA-PBE
data_Tm2AlGe
_chemical_formula_sum 'Tm4 Al2 Ge2'
_symmetry_space_group_name_H-M 'P 1 21/m 1'
_symmetry_Int_Tables_number 11
_symmetry_space_group_name_Hall '-P 2yb'
_cell_length_a 5.778
_cell_length_b 3.960
_cell_length_c 8.405
_cell_angle_alpha 90.00
_cell_angle_beta 107.46
_cell_angle_gamma 90.00
loop_
_atom_site_label
_atom_site_type_symbol
_atom_site_fract_x
_atom_site_fract_y
_atom_site_fract_z
_atom_site_occupancy
Tm1 Tm 0.204 0.250 0.425 1
Tm2 Tm 0.286 0.750 0.067 1
Al1 Al 0.367 0.750 0.711 1
Ge1 Ge 0.134 0.250 0.793 1
# Formation enthalpy at 0 K, eV per atom: -0.667
# DOS at the Fermi energy, states/eV/cell: 6.3

***

(12)
# TmAlGe2, optimized geometry, DFT GGA-PBE
data_TmAlGe2
_chemical_formula_sum 'Tm4 Al4 Ge8'
_symmetry_space_group_name_H-M 'I 4/m m m'
_symmetry_Int_Tables_number 139
_symmetry_space_group_name_Hall '-I 4 2'
_cell_length_a 4.056
_cell_length_b 4.056
_cell_length_c 18.921
_cell_angle_alpha 90.00
_cell_angle_beta 90.00
_cell_angle_gamma 90.00
loop_
_atom_site_label
_atom_site_type_symbol
_atom_site_fract_x
_atom_site_fract_y
_atom_site_fract_z
_atom_site_occupancy
Tm1 Tm 0.000 0.000 0.114 1
Al1 Al 0.000 0.500 0.250 1
Ge1 Ge 0.000 0.000 0.345 1
Ge2 Ge 0.000 0.500 0.000 1
# Distance to the lowest polymorph of the same formula, eV per atom: 0.000
# Formation enthalpy at 0 K, eV per atom: -0.434
# DOS at the Fermi energy, states/eV/cell: 3.9

***

no.,total DFT energy (no corrections) (eV for the cell shown)
1,-31.74
2,-46.69
3,-51.97
4,-51.65
5,-56.97
6,-91.14
7,-55.77
8,-23.12
9,-105.73
10,-37.66
11,-39.94
12,-76.74